Density functional theory data (PBE) for TbEr2CdN after structural relaxation.

Unit cell a=4.861 b=4.772 c=4.772 alpha=90.00 beta=90.00 gamma=90.00
Fractional coordinates of all 5 atoms:
Cd1 0.500 0.500 0.500
N1 0.000 0.000 0.000
Er1 0.000 0.000 0.500
Er2 0.000 0.500 0.000
Tb1 0.500 0.000 0.000

Properties
ΔE_f (raw): -860 meV per atom
spin magnetization: 0.000 μB per formula unit

=====

Density functional theory data (PBE) for ErTm2CdN after structural relaxation.

Unit cell a=4.775 b=4.742 c=4.742 alpha=90.00 beta=90.00 gamma=90.00
Fractional coordinates of all 5 atoms:
Er1 0.500 0.000 0.000
Tm1 0.000 0.000 0.500
Tm2 0.000 0.500 0.000
N1 0.000 0.000 0.000
Cd1 0.500 0.500 0.500

Properties
ΔE_f (raw): -884 meV per atom
spin magnetization: 0.000 μB per formula unit

=====

Density functional theory data (PBE) for Er2TmCdN after structural relaxation.

Unit cell a=4.739 b=4.775 c=4.775 alpha=90.00 beta=90.00 gamma=90.00
Fractional coordinates of all 5 atoms:
Er1 0.000 0.500 0.000
Er2 0.000 0.000 0.500
Cd1 0.500 0.500 0.500
N1 0.000 0.000 0.000
Tm1 0.500 0.000 0.000

Properties
ΔE_f (raw): -880 meV per atom
spin magnetization: 0.000 μB per formula unit

=====

Density functional theory data (PBE) for Er2ZrCdN after structural relaxation.

Unit cell a=4.563 b=4.743 c=4.743 alpha=90.00 beta=90.00 gamma=90.00
Fractional coordinates of all 5 atoms:
Er1 0.000 0.000 0.500
Er2 0.000 0.500 0.000
Cd1 0.500 0.500 0.500
Zr1 0.500 0.000 0.000
N1 0.000 0.000 0.000

Properties
ΔE_f (raw): -833 meV per atom
spin magnetization: 0.001 μB per formula unit

=====

Density functional theory data (PBE) for NaEr2Cd after structural relaxation.

Unit cell a=3.449 b=3.449 c=12.178 alpha=81.86 beta=81.86 gamma=60.00
Fractional coordinates of all 4 atoms:
Er1 0.097 0.097 0.709
Er2 0.903 0.903 0.291
Na1 0.000 0.000 0.000
Cd1 0.500 0.500 0.500

Properties
spin magnetization: 0.000 μB per formula unit
ΔE to the lowest computed polymorph: 0.067 eV/atom
energy of formation from the pure elements: 0.118 eV per atom

=====

Density functional theory data (PBE) for NaErCd4 after structural relaxation.

Unit cell a=3.508 b=5.592 c=8.188 alpha=97.55 beta=77.63 gamma=71.72
Fractional coordinates of all 6 atoms:
Cd1 0.667 0.001 0.665
Cd2 0.333 0.999 0.335
Cd3 0.836 0.492 0.835
Cd4 0.164 0.508 0.165
Na1 0.000 0.000 0.000
Er1 0.500 0.500 0.500

Properties
spin magnetization: 0.000 μB per formula unit
ΔE to the lowest computed polymorph: 0.000 eV/atom
energy of formation from the pure elements: -0.143 eV per atom